{
  "formula": "Th2CoN",
  "functional": "PBE",
  "state": "optimized geometry",
  "cell": [[3.7392, 0.0000, 0.0000], [-1.8696, 3.2382, 0.0000], [0.0000, 0.0000, 19.7206]],
  "species": ["Th", "Th", "Th", "Th", "Th", "Th", "Co", "Co", "Co", "N", "N", "N"],
  "frac_coords": [[0.0000, 0.0000, 0.2438], [0.0000, 0.0000, 0.7562], [0.3333, 0.6667, 0.4228], [0.3333, 0.6667, 0.9105], [0.6667, 0.3333, 0.0895], [0.6667, 0.3333, 0.5772], [0.0000, 0.0000, 0.0000], [0.3333, 0.6667, 0.6667], [0.6667, 0.3333, 0.3333], [0.0000, 0.0000, 0.5000], [0.3333, 0.6667, 0.1667], [0.6667, 0.3333, 0.8333]],
  "space_group": "R-3m (166)",
  "energy_ev_per_atom": -8.258,
  "magnetic_moment_mub_per_cell": 0.0,
  "e_form_raw_ev_per_atom": -0.69,
  "relative_energy_ev_per_atom": 0.000
}

{
  "formula": "CaPbSe2",
  "functional": "PBE",
  "state": "optimized geometry",
  "cell": [[6.6867, 0.0000, 0.0000], [0.0000, 6.6867, 0.0000], [0.0000, 0.0000, 13.6507]],
  "species": ["Ca", "Ca", "Ca", "Ca", "Pb", "Pb", "Pb", "Pb", "Se", "Se", "Se", "Se", "Se", "Se", "Se", "Se"],
  "frac_coords": [[0.0000, 0.0000, 0.0000], [0.0000, 0.5000, 0.2500], [0.5000, 0.0000, 0.7500], [0.5000, 0.5000, 0.5000], [0.0000, 0.0000, 0.5000], [0.0000, 0.5000, 0.7500], [0.5000, 0.0000, 0.2500], [0.5000, 0.5000, 0.0000], [0.2338, 0.2500, 0.1250], [0.2500, 0.7338, 0.3750], [0.2500, 0.7662, 0.8750], [0.2662, 0.2500, 0.6250], [0.7338, 0.7500, 0.6250], [0.7500, 0.2338, 0.8750], [0.7500, 0.2662, 0.3750], [0.7662, 0.7500, 0.1250]],
  "space_group": "I-42d (122)",
  "energy_ev_per_atom": -4.244,
  "magnetic_moment_mub_per_cell": 0.0,
  "e_form_raw_ev_per_atom": -1.07
}

{
  "formula": "La2Cu12Ni5",
  "functional": "PBE",
  "state": "optimized geometry",
  "cell": [[4.3007, 2.4830, 4.1490], [-4.3007, 2.4830, 4.1490], [0.0000, -4.9660, 4.1490]],
  "species": ["La", "La", "Cu", "Cu", "Cu", "Cu", "Cu", "Cu", "Cu", "Cu", "Cu", "Cu", "Cu", "Cu", "Ni", "Ni", "Ni", "Ni", "Ni"],
  "frac_coords": [[0.1694, 0.1694, 0.1694], [0.8306, 0.8306, 0.8306], [0.1578, 0.1578, 0.6512], [0.1578, 0.6512, 0.1578], [0.2125, 0.5000, 0.7875], [0.2125, 0.7875, 0.5000], [0.3488, 0.8422, 0.8422], [0.5000, 0.2125, 0.7875], [0.5000, 0.7875, 0.2125], [0.6512, 0.1578, 0.1578], [0.7875, 0.2125, 0.5000], [0.7875, 0.5000, 0.2125], [0.8422, 0.3488, 0.8422], [0.8422, 0.8422, 0.3488], [0.0000, 0.5000, 0.5000], [0.4016, 0.4016, 0.4016], [0.5000, 0.0000, 0.5000], [0.5000, 0.5000, 0.0000], [0.5984, 0.5984, 0.5984]],
  "space_group": "R-3m (166)",
  "energy_ev_per_atom": -4.763,
  "magnetic_moment_mub_per_cell": 0.0,
  "formation_energy_ev_per_fu": -2.6
}

{
  "formula": "Tc2Rh",
  "functional": "PBE",
  "state": "optimized geometry",
  "cell": [[2.6911, 0.0000, 0.0000], [0.0000, 3.9192, 0.0000], [0.0000, 0.0000, 8.2042]],
  "species": ["Tc", "Tc", "Tc", "Tc", "Rh", "Rh"],
  "frac_coords": [[0.0000, 0.0000, 0.1695], [0.0000, 0.0000, 0.8305], [0.5000, 0.5000, 0.3305], [0.5000, 0.5000, 0.6695], [0.0000, 0.0000, 0.5000], [0.5000, 0.5000, 0.0000]],
  "space_group": "Immm (71)",
  "energy_ev_per_atom": -9.374,
  "magnetic_moment_mub_per_cell": 0.0,
  "formation_energy_ev_per_fu": 0.0,
  "relative_energy_ev_per_atom": 0.106
}

{
  "formula": "NiBi3Pb",
  "functional": "PBE",
  "state": "optimized geometry",
  "cell": [[5.2653, 0.0000, 0.0000], [0.0000, 5.2653, 0.0000], [0.0000, 0.0000, 5.2653]],
  "species": ["Ni", "Bi", "Bi", "Bi", "Pb"],
  "frac_coords": [[0.0000, 0.0000, 0.0000], [0.0000, 0.0000, 0.5000], [0.0000, 0.5000, 0.0000], [0.5000, 0.0000, 0.0000], [0.5000, 0.5000, 0.5000]],
  "space_group": "Pm-3m (221)",
  "energy_ev_per_atom": -3.992,
  "magnetic_moment_mub_per_cell": 0.0,
  "formation_energy_ev_per_fu": 1.2,
  "relative_energy_ev_per_atom": 0.112
}

{
  "formula": "Sr2Ge2Pd",
  "functional": "PBE",
  "state": "optimized geometry",
  "cell": [[7.0759, 0.0000, 0.0000], [0.0000, 7.0759, 0.0000], [0.0000, 0.0000, 4.9088]],
  "species": ["Sr", "Sr", "Sr", "Sr", "Ge", "Ge", "Ge", "Ge", "Pd", "Pd"],
  "frac_coords": [[0.1694, 0.3306, 0.0000], [0.3306, 0.8306, 0.0000], [0.6694, 0.1694, 0.0000], [0.8306, 0.6694, 0.0000], [0.1363, 0.6363, 0.5000], [0.3637, 0.1363, 0.5000], [0.6363, 0.8637, 0.5000], [0.8637, 0.3637, 0.5000], [0.0000, 0.0000, 0.5000], [0.5000, 0.5000, 0.5000]],
  "space_group": "P4/mbm (127)",
  "energy_ev_per_atom": -4.113,
  "magnetic_moment_mub_per_cell": 0.0,
  "formation_energy_ev_per_fu": -2.8
}